Crystalline Li2MoIO6 at its relaxed geometry. Source: the Alexandria database, functional PBE+U.

## Properties
VASP energy = -5.4691 eV per atom
total magnetic moment = 1.00 μB per cell
theoretical density = 3.6 g cm⁻³
crystal system = tetragonal

a = 5.631 Å, b = 5.631 Å, c = 4.801 Å
α = 90.00°, β = 90.00°, γ = 90.00°
Atoms (fractional coordinates):
Li  0.000  0.500  0.000
Li  0.500  0.000  0.000
Mo  0.000  0.000  0.737
I  0.500  0.500  0.813
O  0.000  0.000  0.378
O  0.241  0.241  0.873
O  0.241  0.759  0.873
O  0.500  0.500  0.440
O  0.759  0.241  0.873
O  0.759  0.759  0.873